*i*
# PS2Cl, relaxed, DFT PBE
# Total magnetic moment, μB per atom: 0.0000
data_PS2Cl
_cell_length_a 6.5977
_cell_length_b 5.4085
_cell_length_c 16.6265
_cell_angle_alpha 90.00
_cell_angle_beta 90.00
_cell_angle_gamma 90.00
_space_group_name_H-M_alt 'P n n a'
_space_group_IT_number 52
_space_group_name_Hall '-P 2a 2bc'
loop_
_atom_site_label
_atom_site_fract_x
_atom_site_fract_y
_atom_site_fract_z
_atom_site_occupancy
P1 0.2500 0.0000 0.1532 1
S1 0.0220 0.1690 0.1097 1
Cl1 0.0910 0.7500 0.2500 1

*ii*
# PS2Cl, relaxed, DFT PBE
# Total magnetic moment, μB per atom: 0.0000
data_PS2Cl
_cell_length_a 6.4060
_cell_length_b 6.4060
_cell_length_c 6.4060
_cell_angle_alpha 90.00
_cell_angle_beta 90.00
_cell_angle_gamma 90.00
_space_group_name_H-M_alt 'F m -3 m'
_space_group_IT_number 225
_space_group_name_Hall '-F 4 2 3'
loop_
_atom_site_label
_atom_site_fract_x
_atom_site_fract_y
_atom_site_fract_z
_atom_site_occupancy
P1 0.0000 0.0000 0.0000 1
S1 0.2500 0.2500 0.2500 1
Cl1 0.0000 0.0000 0.5000 1

*iii*
# PS2Cl, relaxed, DFT PBE
# Total magnetic moment, μB per atom: 0.0000
data_PS2Cl
_cell_length_a 6.6370
_cell_length_b 6.6370
_cell_length_c 7.5439
_cell_angle_alpha 90.00
_cell_angle_beta 90.00
_cell_angle_gamma 90.00
_space_group_name_H-M_alt 'I -4 2 d'
_space_group_IT_number 122
_space_group_name_Hall 'I -4 2bw'
loop_
_atom_site_label
_atom_site_fract_x
_atom_site_fract_y
_atom_site_fract_z
_atom_site_occupancy
P1 0.0000 0.0000 0.0000 1
S1 0.1638 0.2500 0.1250 1
Cl1 0.0000 0.0000 0.5000 1

*iv*
# PS2Cl, relaxed, DFT PBE
# Total magnetic moment, μB per atom: 0.0000
data_PS2Cl
_cell_length_a 5.9130
_cell_length_b 6.9481
_cell_length_c 12.7079
_cell_angle_alpha 90.00
_cell_angle_beta 100.97
_cell_angle_gamma 90.00
_space_group_name_H-M_alt 'P 1 21/c 1'
_space_group_IT_number 14
_space_group_name_Hall '-P 2ybc'
loop_
_atom_site_label
_atom_site_fract_x
_atom_site_fract_y
_atom_site_fract_z
_atom_site_occupancy
P1 0.2349 0.0215 0.4617 1
S1 0.0562 0.7143 0.9996 1
S2 0.4715 0.1755 0.5684 1
Cl1 0.1701 0.1121 0.3037 1

Which structure loses on stability? *ii* does.

*i*
# PSCl3, relaxed, DFT PBE
# Total magnetic moment, μB per atom: 0.4175
data_PSCl3
_cell_length_a 4.8456
_cell_length_b 4.8456
_cell_length_c 4.8456
_cell_angle_alpha 90.00
_cell_angle_beta 90.00
_cell_angle_gamma 90.00
_space_group_name_H-M_alt 'P m -3 m'
_space_group_IT_number 221
_space_group_name_Hall '-P 4 2 3'
loop_
_atom_site_label
_atom_site_fract_x
_atom_site_fract_y
_atom_site_fract_z
_atom_site_occupancy
P1 0.0000 0.0000 0.0000 1
S1 0.5000 0.5000 0.5000 1
Cl1 0.0000 0.0000 0.5000 1

*ii*
# PSCl3, relaxed, DFT PBE
# Total magnetic moment, μB per atom: 0.4445
data_PSCl3
_cell_length_a 4.9041
_cell_length_b 4.9041
_cell_length_c 4.9041
_cell_angle_alpha 90.00
_cell_angle_beta 90.00
_cell_angle_gamma 90.00
_space_group_name_H-M_alt 'P m -3 m'
_space_group_IT_number 221
_space_group_name_Hall '-P 4 2 3'
loop_
_atom_site_label
_atom_site_fract_x
_atom_site_fract_y
_atom_site_fract_z
_atom_site_occupancy
P1 0.0000 0.0000 0.0000 1
S1 0.5000 0.5000 0.5000 1
Cl1 0.0000 0.5000 0.5000 1

*iii*
# PSCl3, relaxed, DFT PBE
# Total magnetic moment, μB per atom: 0.0145
data_PSCl3
_cell_length_a 6.5564
_cell_length_b 6.5694
_cell_length_c 8.7468
_cell_angle_alpha 90.44
_cell_angle_beta 90.10
_cell_angle_gamma 90.08
_space_group_name_H-M_alt 'P 1'
_space_group_IT_number 1
_space_group_name_Hall 'P 1'
loop_
_atom_site_label
_atom_site_fract_x
_atom_site_fract_y
_atom_site_fract_z
_atom_site_occupancy
P1 0.0000 0.0000 0.0000 1
P2 0.4999 0.2790 0.5040 1
S1 0.4339 0.9973 0.5024 1
S2 0.9344 0.2815 0.0008 1
Cl1 0.3010 0.9277 0.0042 1
Cl2 0.3924 0.4426 0.3250 1
Cl3 0.3960 0.4418 0.6862 1
Cl4 0.8011 0.3515 0.5030 1
Cl5 0.8900 0.8367 0.1782 1
Cl6 0.8984 0.8367 0.8169 1

Which structure loses on stability? *ii* does.

*i*
# PSCl2, relaxed, DFT PBE
# Total magnetic moment, μB per atom: 0.0000
data_PSCl2
_cell_length_a 3.0598
_cell_length_b 3.0598
_cell_length_c 30.5361
_cell_angle_alpha 90.00
_cell_angle_beta 90.00
_cell_angle_gamma 120.00
_space_group_name_H-M_alt 'R -3 m'
_space_group_IT_number 166
_space_group_name_Hall '-R 3 2"'
loop_
_atom_site_label
_atom_site_fract_x
_atom_site_fract_y
_atom_site_fract_z
_atom_site_occupancy
P1 0.0000 0.0000 0.0000 1
S1 0.0000 0.0000 0.5000 1
Cl1 0.0000 0.0000 0.0687 1

*ii*
# PSCl2, relaxed, DFT PBE
# Total magnetic moment, μB per atom: 0.0000
data_PSCl2
_cell_length_a 4.2452
_cell_length_b 4.2452
_cell_length_c 17.4634
_cell_angle_alpha 90.00
_cell_angle_beta 90.00
_cell_angle_gamma 90.00
_space_group_name_H-M_alt 'I -4 2 d'
_space_group_IT_number 122
_space_group_name_Hall 'I -4 2bw'
loop_
_atom_site_label
_atom_site_fract_x
_atom_site_fract_y
_atom_site_fract_z
_atom_site_occupancy
P1 0.0000 0.0000 0.0000 1
S1 0.0000 0.0000 0.5000 1
Cl1 0.2378 0.2500 0.1250 1

*iii*
# PSCl2, relaxed, DFT PBE
# Total magnetic moment, μB per atom: 0.0000
data_PSCl2
_cell_length_a 3.1884
_cell_length_b 3.1884
_cell_length_c 26.6240
_cell_angle_alpha 90.00
_cell_angle_beta 90.00
_cell_angle_gamma 120.00
_space_group_name_H-M_alt 'R -3 m'
_space_group_IT_number 166
_space_group_name_Hall '-R 3 2"'
loop_
_atom_site_label
_atom_site_fract_x
_atom_site_fract_y
_atom_site_fract_z
_atom_site_occupancy
P1 0.0000 0.0000 0.0000 1
S1 0.0000 0.0000 0.5000 1
Cl1 0.0000 0.0000 0.4146 1

Which structure loses on stability? *ii* does.

*i*
# P2SCl, relaxed, DFT PBE
# Total magnetic moment, μB per atom: 0.0000
data_P2SCl
_cell_length_a 6.3995
_cell_length_b 6.3995
_cell_length_c 6.3995
_cell_angle_alpha 90.00
_cell_angle_beta 90.00
_cell_angle_gamma 90.00
_space_group_name_H-M_alt 'F m -3 m'
_space_group_IT_number 225
_space_group_name_Hall '-F 4 2 3'
loop_
_atom_site_label
_atom_site_fract_x
_atom_site_fract_y
_atom_site_fract_z
_atom_site_occupancy
P1 0.2500 0.2500 0.2500 1
S1 0.0000 0.0000 0.0000 1
Cl1 0.0000 0.0000 0.5000 1

*ii*
# P2SCl, relaxed, DFT PBE
# Total magnetic moment, μB per atom: 0.0000
data_P2SCl
_cell_length_a 4.5598
_cell_length_b 4.5598
_cell_length_c 15.7811
_cell_angle_alpha 90.00
_cell_angle_beta 90.00
_cell_angle_gamma 90.00
_space_group_name_H-M_alt 'I -4 2 d'
_space_group_IT_number 122
_space_group_name_Hall 'I -4 2bw'
loop_
_atom_site_label
_atom_site_fract_x
_atom_site_fract_y
_atom_site_fract_z
_atom_site_occupancy
P1 0.0941 0.2500 0.1250 1
S1 0.0000 0.0000 0.0000 1
Cl1 0.0000 0.0000 0.5000 1

Which structure loses on stability? *i* does.